{"formula": "Co7Tc6", "functional": "meta-GGA SCAN", "state": "PBEsol geometry", "lattice": [[2.294, 1.324, 8.307], [-2.294, 1.324, 8.307], [0.000, -2.649, 8.307]], "species": ["Co", "Co", "Co", "Co", "Co", "Co", "Co", "Tc", "Tc", "Tc", "Tc", "Tc", "Tc"], "fractional_positions": [[0.000, 0.000, 0.000], [0.090, 0.090, 0.589], [0.090, 0.589, 0.090], [0.411, 0.910, 0.910], [0.589, 0.090, 0.090], [0.910, 0.411, 0.910], [0.910, 0.910, 0.411], [0.166, 0.166, 0.166], [0.348, 0.348, 0.348], [0.452, 0.452, 0.452], [0.548, 0.548, 0.548], [0.652, 0.652, 0.652], [0.834, 0.834, 0.834]], "sg": "R-3m (166)", "ef_ev_per_atom": 0.081}

---

{"formula": "CoTcTe2", "functional": "meta-GGA SCAN", "state": "PBEsol geometry", "lattice": [[3.244, 0.000, 0.000], [0.000, 3.244, 0.000], [0.000, 0.000, 6.444]], "species": ["Co", "Tc", "Te", "Te"], "fractional_positions": [[0.000, 0.000, 0.000], [0.000, 0.000, 0.500], [0.500, 0.500, 0.245], [0.500, 0.500, 0.755]], "sg": "P4/mmm (123)", "formation_energy_uncorrected_mev_per_atom": 417}

---

{"formula": "CoTcTe2", "functional": "meta-GGA SCAN", "state": "PBEsol geometry", "lattice": [[1.645, 0.950, 8.534], [-1.645, 0.950, 8.534], [0.000, -1.899, 8.534]], "species": ["Co", "Tc", "Te", "Te"], "fractional_positions": [[0.000, 0.000, 0.000], [0.500, 0.500, 0.500], [0.093, 0.093, 0.093], [0.907, 0.907, 0.907]], "sg": "R-3m (166)", "formation_energy_uncorrected_mev_per_atom": 502}

---

{"formula": "TiTlCo2Tc", "functional": "meta-GGA SCAN", "state": "PBEsol geometry", "lattice": [[4.445, 0.000, 0.000], [0.000, 4.445, 0.000], [0.000, 0.000, 4.559]], "species": ["Ti", "Tl", "Co", "Co", "Tc"], "fractional_positions": [[0.000, 0.000, 0.000], [0.500, 0.500, 0.000], [0.000, 0.500, 0.500], [0.500, 0.000, 0.500], [0.000, 0.000, 0.500]], "sg": "P4/mmm (123)", "ef_ev_per_atom": 1.042}

---

Computed values of magnetic moment (unit: Bohr magnetons per cell) for the preceding records, in sequence: 12.8 1.3 1.7 3.6.